A relaxed structure of Na2V2Mo. Source: the Alexandria database, functional PBE-GGA.

Summary:
Its formation energy is 1.220 eV/atom. The relative energy among the computed polymorphs comes out at 0.0000 eV per atom. Its crystal system is tetragonal.

a b c (Å): 3.1068 3.1068 22.1904
angles (deg): 90.00 90.00 90.00
Sites, in units of the cell vectors:
Na  0.0000  0.0000  0.1148
Na  0.0000  0.0000  0.8852
Na  0.5000  0.5000  0.3852
Na  0.5000  0.5000  0.6148
V  0.0000  0.5000  0.2500
V  0.0000  0.5000  0.7500
V  0.5000  0.0000  0.2500
V  0.5000  0.0000  0.7500
Mo  0.0000  0.0000  0.5000
Mo  0.5000  0.5000  0.0000